An optimized crystal structure of SmZnCd. Source: OQMD via LeMat-Bulk, functional GGA-PBE.

Unit cell a=4.9079 b=4.9079 c=4.9079 alpha=60.00 beta=60.00 gamma=60.00
Closest atoms and distances in Å follow each position.
Fractional positions:
Cd: 0.2500 0.2500 0.2500  4 Sm 3.01
Zn: 0.7500 0.7500 0.7500  4 Sm 3.01
Sm: 0.0000 0.0000 0.0000  4 Cd 3.01, 4 Zn 3.01

Computed properties:
- ΔH_f (0 K): 165 meV/atom

***

An optimized crystal structure of SmZnCd. Source: OQMD via LeMat-Bulk, functional GGA-PBE.

Unit cell a=4.7189 b=4.7189 c=4.7189 alpha=60.00 beta=60.00 gamma=60.00
Closest atoms and distances in Å follow each position.
Fractional positions:
Zn: 0.0000 0.0000 0.0000  4 Cd 2.89, 4 Sm 2.89
Cd: 0.2500 0.2500 0.2500  4 Zn 2.89
Sm: 0.7500 0.7500 0.7500  4 Zn 2.89

Computed properties:
- ΔH_f (0 K): -201 meV/atom

***

An optimized crystal structure of SmZrCd. Source: OQMD via LeMat-Bulk, functional GGA-PBE.

Unit cell a=5.0259 b=5.0259 c=5.0259 alpha=60.00 beta=60.00 gamma=60.00
Closest atoms and distances in Å follow each position.
Fractional positions:
Sm: 0.0000 0.0000 0.0000  4 Cd 3.08, 4 Zr 3.08
Cd: 0.2500 0.2500 0.2500  4 Sm 3.08
Zr: 0.7500 0.7500 0.7500  4 Sm 3.08

Computed properties:
- ΔH_f (0 K): 850 meV/atom

***

An optimized crystal structure of CdSn2. Source: OQMD via LeMat-Bulk, functional GGA-PBE.

Unit cell a=4.9803 b=4.9803 c=4.9803 alpha=60.00 beta=60.00 gamma=60.00
Closest atoms and distances in Å follow each position.
Fractional positions:
Sn: 0.2500 0.2500 0.2500  4 Cd 3.05
Sn: 0.7500 0.7500 0.7500  4 Cd 3.05
Cd: 0.0000 0.0000 0.0000  8 Sn 3.05

Computed properties:
- Polymorph energy (0 for the lowest one): 0.00 kcal/mol of atoms